K2Tl2Hg3: relaxed, GGA-PBE.

Summary:
size of the total moment = 0.0 μB/f.u.
energy relative to the elements = -165 meV per atom
total energy = -8.99 eV per cell

a b c (Å): 4.4883 6.7525 8.6063
angles (deg): 81.94 90.00 109.41
Last column: nearest neighbours and their distance in Å.
Atoms (fractional coordinates):
K 0.8795 0.7589 0.3156  7 Hg 3.53-3.68, 2 Tl 3.79-3.93
K 0.1205 0.2411 0.6844  7 Hg 3.53-3.68, 2 Tl 3.79-3.93
Tl 0.8250 0.6501 0.8943  4 Hg 3.20-3.38, 2 Tl 3.31
Tl 0.1750 0.3499 0.1057  4 Hg 3.20-3.38, 2 Tl 3.31
Hg 0.5000 0.0000 0.0000  4 Tl 3.38, 2 Hg 3.54, 4 K 3.68
Hg 0.5995 0.1990 0.3623  2 Tl 3.20, 2 Hg 3.20-3.54, 1 K 3.53
Hg 0.4005 0.8010 0.6377  2 Tl 3.20, 2 Hg 3.20-3.54, 1 K 3.53